a) ZrP2Br2 | PBE | optimized geometry

Properties
Its space group is I4/mmm. The density of states at the Fermi level is 0.469 states/eV per atom.

Cell lengths 3.3126, 3.3126, 11.3886 Å; angles 81.64, 81.64, 90.00 degrees
Element x y z (fractional)
P  0.7500  0.2500  0.5000
P  0.2500  0.7500  0.5000
Br  0.4253  0.4253  0.1494
Br  0.5747  0.5747  0.8506
Zr  0.0000  0.0000  0.0000

***

b) ZrP2Br2 | PBE | optimized geometry

Properties
Its space group is P4/mbm. The density of states at the Fermi level is 0.373 states/eV per atom.

Cell lengths 7.3512, 7.3512, 7.2228 Å; angles 90.00, 90.00, 90.00 degrees
Element x y z (fractional)
P  0.0920  0.5920  0.5000
P  0.5920  0.9080  0.5000
P  0.9080  0.4080  0.5000
P  0.4080  0.0920  0.5000
Br  0.3037  0.8037  0.0000
Br  0.8037  0.6963  0.0000
Br  0.6963  0.1963  0.0000
Br  0.1963  0.3037  0.0000
Zr  0.0000  0.0000  0.0000
Zr  0.5000  0.5000  0.0000

***

a) has the most favorable energy; the next structure is 419 meV per atom above.

***

a) Rb2PaBr8 | PBE | optimized geometry

Properties
Its space group is C2/m. The density of states at the Fermi level is 0.913 states/eV per atom.

Cell lengths 5.1975, 7.0934, 12.0180 Å; angles 106.71, 102.49, 90.00 degrees
Element x y z (fractional)
Rb  0.8224  0.3084  0.6448
Rb  0.1776  0.6916  0.3552
Pa  0.5000  0.0000  0.0000
Br  0.4305  0.6128  0.8611
Br  0.6140  0.9590  0.2280
Br  0.7753  0.7365  0.5507
Br  0.9783  0.1938  0.9566
Br  0.2247  0.2635  0.4493
Br  0.3860  0.0410  0.7720
Br  0.5695  0.3872  0.1389
Br  0.0217  0.8062  0.0434

***

b) Rb2PaBr8 | PBE | optimized geometry

Properties
Its space group is C2/m.

Cell lengths 6.7256, 9.2693, 9.2693 Å; angles 74.26, 71.12, 71.12 degrees
Element x y z (fractional)
Rb  0.8248  0.3336  0.3336
Rb  0.1752  0.6664  0.6664
Pa  0.0000  0.0000  0.0000
Br  0.8827  0.0699  0.7281
Br  0.1173  0.2719  0.9301
Br  0.5962  0.1478  0.1478
Br  0.4038  0.8522  0.8522
Br  0.8827  0.7281  0.0699
Br  0.1173  0.9301  0.2719
Br  0.2218  0.4249  0.4249
Br  0.7782  0.5751  0.5751

***

b) has the most favorable energy; the next structure is 122 meV per atom above.

***

a) RbPaBr6 | PBE | optimized geometry

Properties
Its space group is C2/m. The density of states at the Fermi level is 0.000 states/eV per atom.

Cell lengths 7.1178, 8.5332, 7.2857 Å; angles 54.15, 81.21, 74.87 degrees
Element x y z (fractional)
Rb  0.0000  0.0000  0.0000
Pa  0.5000  0.5000  0.0000
Br  0.7631  0.5223  0.6760
Br  0.7631  0.1983  0.3240
Br  0.2369  0.8017  0.6760
Br  0.2369  0.4777  0.3240
Br  0.6375  0.7687  0.0000
Br  0.3625  0.2313  0.0000

***

b) RbPaBr6 | PBE | optimized geometry

Properties
Its space group is R-3m. The density of states at the Fermi level is 0.000 states/eV per atom.

Cell lengths 7.6979, 7.6979, 8.3203 Å; angles 62.44, 62.44, 60.00 degrees
Element x y z (fractional)
Rb  0.5000  0.5000  0.5000
Pa  0.0000  0.0000  0.0000
Br  0.9091  0.9091  0.7749
Br  0.4069  0.9091  0.7749
Br  0.0909  0.5931  0.2251
Br  0.5931  0.0909  0.2251
Br  0.0909  0.0909  0.2251
Br  0.9091  0.4069  0.7749

***

a) has the most favorable energy; the next structure is 27 meV per atom above.

***

a) PaSeBr2 | PBE | optimized geometry

Properties
Its space group is P2_1/m. The density of states at the Fermi level is 1.131 states/eV per atom.

Cell lengths 4.1782, 10.5510, 7.2761 Å; angles 91.58, 90.00, 90.00 degrees
Element x y z (fractional)
Pa  0.7500  0.3325  0.4209
Pa  0.2500  0.6675  0.5791
Se  0.7500  0.5157  0.7195
Se  0.2500  0.4843  0.2805
Br  0.7500  0.1738  0.1249
Br  0.2500  0.8262  0.8751
Br  0.7500  0.8064  0.3936
Br  0.2500  0.1936  0.6064

***

b) PaSeBr2 | PBE | optimized geometry

Properties
Its space group is Pm. The density of states at the Fermi level is 0.530 states/eV per atom.

Cell lengths 3.7433, 4.3498, 8.5978 Å; angles 104.49, 90.00, 90.00 degrees
Element x y z (fractional)
Pa  0.0000  0.7374  0.5999
Se  0.5000  0.2640  0.6535
Br  0.0000  0.8973  0.9225
Br  0.5000  0.6013  0.3241

***

a) has the most favorable energy; the next structure is 61 meV per atom above.

***

a) PaTl2Br6 | PBE | optimized geometry

Properties
Its space group is P4_2/mnm. The density of states at the Fermi level is 0.051 states/eV per atom.

Cell lengths 7.4697, 7.4697, 14.1471 Å; angles 90.00, 90.00, 90.00 degrees
Element x y z (fractional)
Pa  0.0000  0.0000  0.0000
Pa  0.5000  0.5000  0.5000
Tl  0.0000  0.0000  0.3337
Tl  0.5000  0.5000  0.8337
Tl  0.5000  0.5000  0.1663
Tl  0.0000  0.0000  0.6663
Br  0.3161  0.3161  0.3553
Br  0.6839  0.6839  0.3553
Br  0.1839  0.8161  0.8553
Br  0.8161  0.1839  0.8553
Br  0.1839  0.8161  0.1447
Br  0.8161  0.1839  0.1447
Br  0.3161  0.3161  0.6447
Br  0.6839  0.6839  0.6447
Br  0.2662  0.2662  0.0000
Br  0.7338  0.7338  0.0000
Br  0.2338  0.7662  0.5000
Br  0.7662  0.2338  0.5000

***

b) PaTl2Br6 | PBE | optimized geometry

Properties
Its space group is P2_1/c. The density of states at the Fermi level is 0.030 states/eV per atom.

Cell lengths 8.5341, 7.7145, 10.8201 Å; angles 93.53, 90.00, 90.00 degrees
Element x y z (fractional)
Pa  0.5000  0.5000  0.0000
Pa  0.0000  0.0000  0.5000
Tl  0.5949  0.0301  0.2390
Tl  0.0949  0.4699  0.2610
Tl  0.9051  0.5301  0.7390
Tl  0.4051  0.9699  0.7610
Br  0.0330  0.1182  0.7495
Br  0.2796  0.1692  0.4424
Br  0.3272  0.1987  0.0475
Br  0.8272  0.3013  0.4525
Br  0.7796  0.3308  0.0576
Br  0.5330  0.3818  0.7505
Br  0.9670  0.8818  0.2505
Br  0.7204  0.8308  0.5576
Br  0.6728  0.8013  0.9525
Br  0.1728  0.6987  0.5475
Br  0.2204  0.6692  0.9424
Br  0.4670  0.6182  0.2495

***

b) has the most favorable energy; the next structure is 16 meV per atom above.

***

a) Pa2TlBr8 | PBE | optimized geometry

Properties
Its space group is C2/m. The density of states at the Fermi level is 0.914 states/eV per atom.

Cell lengths 12.3486, 7.3755, 7.3755 Å; angles 97.45, 109.54, 109.54 degrees
Element x y z (fractional)
Pa  0.6675  0.9796  0.9796
Pa  0.3325  0.0204  0.0204
Tl  0.0000  0.0000  0.0000
Br  0.1757  0.0878  0.7014
Br  0.8243  0.2986  0.9122
Br  0.3973  0.7709  0.7709
Br  0.6027  0.2291  0.2291
Br  0.1757  0.7014  0.0878
Br  0.8243  0.9122  0.2986
Br  0.6831  0.7074  0.7074
Br  0.3169  0.2926  0.2926

***

b) Pa2TlBr8 | PBE | optimized geometry

Properties
Its space group is P-3. The density of states at the Fermi level is 1.536 states/eV per atom.

Cell lengths 5.7951, 10.0276, 10.0285 Å; angles 120.00, 90.00, 90.00 degrees
Element x y z (fractional)
Pa  0.2498  0.3334  0.6667
Pa  0.7502  0.6666  0.3333
Tl  0.0000  0.0000  0.0000
Br  0.2481  0.6666  0.3333
Br  0.7519  0.3334  0.6667
Br  0.7413  0.8235  0.1746
Br  0.2587  0.1746  0.3511
Br  0.2588  0.6490  0.8235
Br  0.2587  0.1765  0.8254
Br  0.7413  0.8254  0.6489
Br  0.7412  0.3510  0.1765

***

a) has the most favorable energy; the next structure is 28 meV per atom above.

***

a) PaTl3Br6 | PBE | optimized geometry

Properties
Its space group is Fmmm. The density of states at the Fermi level is 0.485 states/eV per atom.

Cell lengths 7.5621, 7.5621, 8.9815 Å; angles 107.57, 107.57, 106.44 degrees
Element x y z (fractional)
Pa  0.0000  0.0000  0.0000
Tl  0.7500  0.2500  0.5000
Tl  0.5000  0.5000  0.0000
Tl  0.2500  0.7500  0.5000
Br  0.6482  0.6482  0.7346
Br  0.9136  0.9136  0.2654
Br  0.0864  0.0864  0.7346
Br  0.3518  0.3518  0.2654
Br  0.7687  0.2313  0.0000
Br  0.2313  0.7687  0.0000

***

b) PaTl3Br6 | PBE | optimized geometry

Properties
Its space group is P2_1/c. The density of states at the Fermi level is 0.603 states/eV per atom.

Cell lengths 8.5582, 7.9586, 11.5108 Å; angles 88.81, 90.00, 90.00 degrees
Element x y z (fractional)
Pa  0.5000  0.5000  0.5000
Pa  0.0000  0.0000  0.0000
Tl  0.0966  0.4640  0.2492
Tl  0.5000  0.5000  0.0000
Tl  0.9034  0.5360  0.7508
Tl  0.4034  0.9640  0.7492
Tl  0.0000  0.0000  0.5000
Tl  0.5966  0.0360  0.2508
Br  0.8309  0.2996  0.0662
Br  0.7896  0.3430  0.4264
Br  0.0466  0.1455  0.7681
Br  0.9534  0.8545  0.2319
Br  0.2104  0.6570  0.5736
Br  0.1691  0.7004  0.9338
Br  0.6691  0.7996  0.5662
Br  0.7104  0.8430  0.9264
Br  0.4534  0.6455  0.2681
Br  0.5466  0.3545  0.7319
Br  0.2896  0.1570  0.0736
Br  0.3309  0.2004  0.4338

***

b) has the most favorable energy; the next structure is 29 meV per atom above.

***

a) Pb3Br5 | PBE | optimized geometry

Properties
Its space group is Cmmm. The density of states at the Fermi level is 0.395 states/eV per atom.

Cell lengths 7.5288, 7.5288, 4.7414 Å; angles 90.00, 90.00, 108.63 degrees
Element x y z (fractional)
Pb  0.5000  0.5000  0.0000
Pb  0.8310  0.1690  0.5000
Pb  0.1690  0.8310  0.5000
Br  0.0000  0.0000  0.0000
Br  0.0000  0.5000  0.0000
Br  0.5000  0.0000  0.0000
Br  0.2844  0.2844  0.5000
Br  0.7156  0.7156  0.5000

***

b) Pb3Br5 | PBE | optimized geometry

Properties
Its space group is P6_3/mcm. The density of states at the Fermi level is 0.537 states/eV per atom.

Cell lengths 8.9635, 8.9635, 7.3750 Å; angles 90.00, 90.00, 120.00 degrees
Element x y z (fractional)
Pb  0.0000  0.3948  0.2500
Pb  0.0000  0.6052  0.7500
Pb  0.6052  0.6052  0.2500
Pb  0.3948  0.0000  0.2500
Pb  0.6052  0.0000  0.7500
Pb  0.3948  0.3948  0.7500
Br  0.6667  0.3333  0.0000
Br  0.3333  0.6667  0.5000
Br  0.3333  0.6667  0.0000
Br  0.6667  0.3333  0.5000
Br  0.0000  0.7430  0.2500
Br  0.0000  0.2570  0.7500
Br  0.2570  0.2570  0.2500
Br  0.7430  0.0000  0.2500
Br  0.2570  0.0000  0.7500
Br  0.7430  0.7430  0.7500

***

b) has the most favorable energy; the next structure is 52 meV per atom above.

***

a) Pb5Br4 | PBE | optimized geometry

Properties
Its space group is P6_3/mcm. The density of states at the Fermi level is 0.508 states/eV per atom.

Cell lengths 9.9030, 9.9030, 6.5834 Å; angles 90.00, 90.00, 120.00 degrees
Element x y z (fractional)
Pb  0.0000  0.6877  0.2500
Pb  0.3123  0.3123  0.2500
Pb  0.6877  0.0000  0.2500
Pb  0.0000  0.3123  0.7500
Pb  0.6877  0.6877  0.7500
Pb  0.3123  0.0000  0.7500
Pb  0.6667  0.3333  0.0000
Pb  0.3333  0.6667  0.5000
Pb  0.3333  0.6667  0.0000
Pb  0.6667  0.3333  0.5000
Br  0.0000  0.0000  0.0000
Br  0.0000  0.0000  0.5000
Br  0.0000  0.3554  0.2500
Br  0.6446  0.6446  0.2500
Br  0.3554  0.0000  0.2500
Br  0.0000  0.6446  0.7500
Br  0.3554  0.3554  0.7500
Br  0.6446  0.0000  0.7500

***

b) Pb5Br4 | PBE | optimized geometry

Properties
Its space group is I4/mmm. The density of states at the Fermi level is 0.448 states/eV per atom.

Cell lengths 8.9684, 8.9684, 8.9684 Å; angles 92.52, 92.52, 155.78 degrees
Element x y z (fractional)
Pb  0.0000  0.0000  0.0000
Pb  0.6652  0.3348  0.0000
Pb  0.3348  0.6652  0.0000
Pb  0.3348  0.3348  0.6696
Pb  0.6652  0.6652  0.3304
Br  0.7013  0.0000  0.7013
Br  0.2987  0.0000  0.2987
Br  0.0000  0.2987  0.2987
Br  0.0000  0.7013  0.7013

***

b) has the most favorable energy; the next structure is 139 meV per atom above.

***

a) Pb3Br2 | PBE | optimized geometry

Properties
Its space group is R-3m. The density of states at the Fermi level is 0.385 states/eV per atom.

Cell lengths 13.5306, 13.5306, 13.5306 Å; angles 16.91, 16.91, 16.91 degrees
Element x y z (fractional)
Pb  0.0000  0.0000  0.0000
Pb  0.8023  0.8023  0.8023
Pb  0.1977  0.1977  0.1977
Br  0.3826  0.3826  0.3826
Br  0.6174  0.6174  0.6174

***

b) Pb3Br2 | PBE | optimized geometry

Properties
Its space group is Fdd2. The density of states at the Fermi level is 0.341 states/eV per atom.

Cell lengths 10.3813, 6.5107, 9.3285 Å; angles 79.74, 38.11, 62.15 degrees
Element x y z (fractional)
Pb  0.3814  0.5433  0.8011
Pb  0.2741  0.8011  0.5433
Pb  0.7067  0.8686  0.9759
Pb  0.4489  0.9759  0.8686
Pb  0.8397  0.1603  0.1603
Pb  0.0897  0.4103  0.4103
Br  0.5590  0.4187  0.0766
Br  0.9457  0.0766  0.4187
Br  0.8313  0.6910  0.3043
Br  0.1734  0.3043  0.6910

***

a) has the most favorable energy; the next structure is 53 meV per atom above.

***

a) PdPb2Br | PBE | optimized geometry

Properties
Its space group is Fm-3m. The density of states at the Fermi level is 0.823 states/eV per atom.

Cell lengths 5.2292, 5.2292, 5.2292 Å; angles 60.00, 60.00, 60.00 degrees
Element x y z (fractional)
Pb  0.2500  0.2500  0.2500
Pb  0.7500  0.7500  0.7500
Br  0.0000  0.0000  0.0000
Pd  0.5000  0.5000  0.5000

***

b) PdPb2Br | PBE | optimized geometry

Properties
Its space group is R3m. The density of states at the Fermi level is 0.332 states/eV per atom.

Cell lengths 3.9205, 3.9205, 8.6497 Å; angles 76.90, 76.90, 60.00 degrees
Element x y z (fractional)
Pd  0.6676  0.6676  0.9973
Pb  0.0708  0.0708  0.7876
Pb  0.2645  0.2645  0.2066
Br  0.4972  0.4972  0.5084

***

b) has the most favorable energy; the next structure is 277 meV per atom above.